# Ti2CrIrN

An optimized crystal structure of Ti2CrIrN (PBE, Alexandria via LeMat-Bulk).

a = 4.1538 Å, b = 4.1538 Å, c = 3.7072 Å
α = 90.00°, β = 90.00°, γ = 90.00°
With the nearest neighbours (Å) after each atom.
Space group P4/mmm (No. 123)
Symmetry-distinct sites (fractional):
Ti (0.0000, 0.5000, 0.0000) (multiplicity 2)  2 N 2.08
Cr (0.0000, 0.0000, 0.5000) (multiplicity 1)  2 N 1.85
Ir (0.5000, 0.5000, 0.5000) (multiplicity 1)  8 Ti 2.78, 4 Cr 2.94
N (0.0000, 0.0000, 0.0000) (multiplicity 1)  2 Cr 1.85

Computed properties:
E_form (uncorrected) in meV/atom: -877